Density functional theory data (PBE-GGA) for a relaxed structure of HfZr2Al3Ir2Pd.

a = 3.499 Å, b = 7.202 Å, c = 7.202 Å
α = 119.75°, β = 90.00°, γ = 90.00°
Fractional positions:
Al (0.500, 0.739, 0.000)
Al (0.500, 0.260, 0.260)
Al (0.500, 0.000, 0.739)
Hf (0.000, 0.591, 0.591)
Ir (0.500, 0.666, 0.337)
Ir (0.500, 0.337, 0.666)
Pd (0.000, 0.997, 0.997)
Zr (0.000, 0.409, 0.001)
Zr (0.000, 0.001, 0.409)

Values from the calculation:
**Final energy**: -7.68 eV per atom
**SG**: Amm2, No. 38